Below is an optimized crystal structure of Ce4Th3In2, with properties calculated at the PBE-GGA level.

abc: 4.7779 6.0658 10.4001
angles: 71.35 90.00 113.19
Last column: nearest neighbours and their distance in Å.
Fractional coordinates of all 9 atoms:
Ce: 0.9943 0.9887 0.6748  3 Ce 3.33-3.59, 6 Th 3.40-3.52, 3 In 3.45-3.46
Th: 0.6693 0.3385 0.4462  3 Th 3.41-3.54, 3 In 3.41-3.46, 6 Ce 3.46-3.52
In: 0.3353 0.6705 0.2194  5 Th 3.37-3.46, 7 Ce 3.45-3.47
Ce: 0.6669 0.3337 0.1126  4 Ce 3.33-3.41, 4 In 3.45-3.47, 4 Th 3.47-3.48
Ce: 0.3331 0.6663 0.8874  4 Ce 3.33-3.41, 4 In 3.45-3.47, 4 Th 3.47-3.48
In: 0.6647 0.3295 0.7806  5 Th 3.37-3.46, 7 Ce 3.45-3.47
Th: 0.0000 0.0000 0.0000  4 In 3.37, 8 Ce 3.40-3.48
Ce: 0.0057 0.0113 0.3252  3 Ce 3.33-3.59, 6 Th 3.40-3.52, 3 In 3.45-3.46
Th: 0.3307 0.6615 0.5538  3 Th 3.41-3.54, 3 In 3.41-3.46, 6 Ce 3.46-3.52

Formation energy in eV per formula unit: -1.081
Total magnetization in μB/f.u.: 2.75